[1]
## AlSi3Ni3 (GGA-PBE)

Data for an optimized crystal structure of AlSi3Ni3.

Results
Excess energy over the best structure of this formula in the dataset, eV per atom: 0.0000

Cell: 6.804 3.923 6.983 Å, 90.00 106.59 90.00°
Space group P2_1/m (No. 11)
Symmetry-distinct sites (fractional):
Al 0.168 0.250 0.277
Si 0.211 0.250 0.677
Si 0.265 0.750 0.008
Si 0.445 0.750 0.756
Ni 0.045 0.250 0.909
Ni 0.131 0.750 0.484
Ni 0.447 0.750 0.354



[2]
## Al2Si8Ni (GGA-PBE)

Data for an optimized crystal structure of Al2Si8Ni.

Cell: 3.669 3.669 12.868 Å, 90.00 90.00 90.00°
Space group P4/mmm (No. 123)
Symmetry-distinct sites (fractional):
Al 0.000 0.000 0.157
Si 0.000 0.500 0.000
Si 0.000 0.500 0.385
Si 0.500 0.500 0.249
Ni 0.000 0.000 0.500



[3]
## Al2SiNi5 (GGA-PBE)

Data for an optimized crystal structure of Al2SiNi5.

Results
Excess energy over the best structure of this formula in the dataset, eV per atom: 0.0000

Cell: 4.958 9.742 3.796 Å, 90.00 90.00 90.00°
Space group Pbam (No. 55)
Symmetry-distinct sites (fractional):
Al 0.165 0.144 0.000
Si 0.000 0.500 0.500
Ni 0.000 0.000 0.500
Ni 0.081 0.738 0.500
Ni 0.179 0.397 0.000



[4]
## AlSiNi2 (GGA-PBE)

Data for an optimized crystal structure of AlSiNi2.

Cell: 2.7030 2.7030 7.6302 Å, 90.00 90.00 120.00°
Space group P-3m1 (No. 164)
Symmetry-distinct sites (fractional):
Al 0.0000 0.0000 0.0000
Si 0.0000 0.0000 0.5000
Ni 0.3333 0.6667 0.7381



[5]
## AlSiNi6 (GGA-PBE)

Data for an optimized crystal structure of AlSiNi6.

Results
Excess energy over the best structure of this formula in the dataset, eV per atom: 0.0037

Cell: 7.078 9.998 9.977 Å, 90.00 90.00 90.00°
Space group Cmmm (No. 65)
Symmetry-distinct sites (fractional):
Al 0.000 0.000 0.249
Al 0.000 0.246 0.000
Si 0.000 0.246 0.500
Si 0.000 0.500 0.248
Ni 0.000 0.000 0.000
Ni 0.000 0.000 0.500
Ni 0.000 0.250 0.255
Ni 0.000 0.500 0.000
Ni 0.000 0.500 0.500
Ni 0.245 0.376 0.127
Ni 0.246 0.375 0.377



[6]
## Al3Si3Ni2 (GGA-PBE)

Data for an optimized crystal structure of Al3Si3Ni2.

Results
Excess energy over the best structure of this formula in the dataset, eV per atom: 0.1419

Cell: 6.5436 6.5436 3.0017 Å, 90.00 90.00 120.00°
Space group P-62m (No. 189)
Symmetry-distinct sites (fractional):
Al 0.0000 0.7556 0.0000
Si 0.0000 0.3902 0.5000
Ni 0.3333 0.6667 0.0000



| no. | formation energy (no corrections) (kJ per mole of atoms) |
| --- | --- |
| 1 | -35.1 |
| 2 | 16.7 |
| 3 | -55.4 |
| 4 | -36.8 |
| 5 | -42.4 |
| 6 | -6.7 |